# 1
## Li2InPtO (GGA-PBE)

Data for a geometry-optimized Li2InPtO structure.

The structure in POSCAR format:
```
Li2InPtO
1.0
4.557 0.000 0.000
0.000 4.557 0.000
0.000 0.000 5.129
Li In Pt O
2 1 1 1
direct
0.000 0.500 0.000
0.500 0.000 0.000
0.000 0.000 0.500
0.000 0.000 0.000
0.500 0.500 0.500
```

Summary:
D(E_F) = 2.09 states/eV/f.u.
ΔE_f (raw) = -7 kJ/mol of formula units
total magnetization = 0.357 Bohr magnetons per cell

***

# 2
## CdAs2Se (GGA-PBE)

Data for a geometry-optimized CdAs2Se structure.

The structure in POSCAR format:
```
CdAs2Se
1.0
0.000 3.461 3.461
3.461 0.000 3.461
3.461 3.461 0.000
Cd As Se
1 2 1
direct
0.000 0.000 0.000
0.250 0.250 0.250
0.750 0.750 0.750
0.500 0.500 0.500
```

Summary:
distance to the lowest polymorph of the same formula = 0.536 eV/atom
D(E_F) = 2.27 states/eV/f.u.
ΔE_f (raw) = 162 kJ/mol of formula units
total magnetization = 0.000 Bohr magnetons per cell

***

Which formula does entry 1 have?
Li2InPtO

***

Copy entry 1 word for word.
## Li2InPtO (GGA-PBE)

Data for a geometry-optimized Li2InPtO structure.

The structure in POSCAR format:
```
Li2InPtO
1.0
4.557 0.000 0.000
0.000 4.557 0.000
0.000 0.000 5.129
Li In Pt O
2 1 1 1
direct
0.000 0.500 0.000
0.500 0.000 0.000
0.000 0.000 0.500
0.000 0.000 0.000
0.500 0.500 0.500
```

Summary:
D(E_F) = 2.09 states/eV/f.u.
ΔE_f (raw) = -7 kJ/mol of formula units
total magnetization = 0.357 Bohr magnetons per cell

***

Please write out number 1 again, unchanged.
## Li2InPtO (GGA-PBE)

Data for a geometry-optimized Li2InPtO structure.

The structure in POSCAR format:
```
Li2InPtO
1.0
4.557 0.000 0.000
0.000 4.557 0.000
0.000 0.000 5.129
Li In Pt O
2 1 1 1
direct
0.000 0.500 0.000
0.500 0.000 0.000
0.000 0.000 0.500
0.000 0.000 0.000
0.500 0.500 0.500
```

Summary:
D(E_F) = 2.09 states/eV/f.u.
ΔE_f (raw) = -7 kJ/mol of formula units
total magnetization = 0.357 Bohr magnetons per cell